No. 1
This record from Alexandria via LeMat-Bulk describes a geometry-optimized Li6AsS5I structure. The functional is PBE-GGA.

abc: 7.2078 7.2743 7.2868
angles: 60.96 60.99 60.40
Last column: nearest neighbours and their distance in Å.
Space group P1 (No. 1)
Asymmetric unit:
Li1 0.0000 0.0000 0.0000  3 S 2.42-2.53
Li2 0.0055 0.5526 0.6180  3 S 2.39-2.47
Li3 0.4745 0.5736 0.6301  3 S 2.38-2.48
Li4 0.4818 0.1661 0.0098  3 S 2.39-2.47
Li5 0.6325 0.5423 0.0238  3 S 2.40-2.50
Li6 0.9828 0.2029 0.4692  3 S 2.40-2.49
As1 0.5262 0.0763 0.5325  4 S 2.19-2.20
S1 0.3882 0.9669 0.4080  1 As 2.19, 2 Li 2.43-2.44
S2 0.4066 0.9472 0.8961  1 As 2.19
S3 0.4087 0.4431 0.4164  1 As 2.20, 2 Li 2.44
S4 0.7719 0.3300 0.7863  6 Li 2.38-2.42
S5 0.8950 0.9543 0.4017  1 As 2.19
I1 0.0414 0.5628 0.0137  6 Li 2.99-3.06

Summary:
For the volume, the calculation gives 274.9 Å³/cell. The value obtained for the density is 2.44 g/cm3. The total energy comes out at -3.943 eV/atom.



No. 2
This record from Alexandria via LeMat-Bulk describes a geometry-optimized LiSb2AsI structure. The functional is PBE-GGA.

abc: 5.1151 5.1151 5.0314
angles: 90.00 90.00 90.00
Last column: nearest neighbours and their distance in Å.
Space group P4/mmm (No. 123)
Asymmetric unit:
Li1 0.0000 0.0000 0.0000  2 I 2.52, 4 Sb 2.56
Sb1 0.0000 0.5000 0.0000  2 Li 2.56
As1 0.5000 0.5000 0.5000  8 Sb 3.59, 4 I 3.62
I1 0.0000 0.0000 0.5000  2 Li 2.52

Summary:
For the volume, the calculation gives 131.6 Å³/cell. The energy above the most stable polymorph in this dataset comes out at 143.8 meV per atom. As for the density of states at the Fermi level: 6.225 states/eV/cell. The value obtained for the density is 5.71 g/cm3. The total energy comes out at -2.754 eV/atom.



No. 3
This record from Alexandria via LeMat-Bulk describes a geometry-optimized LiSb2AsI structure. The functional is PBE-GGA.

abc: 5.2074 5.2074 8.8331
angles: 90.00 90.00 90.00
Last column: nearest neighbours and their distance in Å.
Space group P4/mmm (No. 123)
Asymmetric unit:
Li1 0.0000 0.0000 0.0000  4 I 3.68
Sb1 0.0000 0.5000 0.5000  2 As 2.60
As1 0.5000 0.5000 0.5000  4 Sb 2.60
I1 0.5000 0.5000 0.0000  4 Li 3.68

Summary:
For the volume, the calculation gives 239.5 Å³/cell. The energy above the most stable polymorph in this dataset comes out at 0.0 meV per atom. As for the density of states at the Fermi level: 4.756 states/eV/cell. The value obtained for the density is 3.14 g/cm3. The total energy comes out at -2.898 eV/atom.



No. 4
This record from Alexandria via LeMat-Bulk describes a geometry-optimized Li2SbAsI structure. The functional is PBE-GGA.

abc: 5.5094 5.5094 5.2200
angles: 90.00 90.00 90.00
Last column: nearest neighbours and their distance in Å.
Space group P4/mmm (No. 123)
Asymmetric unit:
Li1 0.0000 0.5000 0.0000  2 Sb 2.75
Sb1 0.0000 0.0000 0.0000  2 As 2.61, 4 Li 2.75
As1 0.0000 0.0000 0.5000  2 Sb 2.61
I1 0.5000 0.5000 0.5000  8 Li 3.79, 4 As 3.90

Summary:
For the volume, the calculation gives 158.4 Å³/cell. As for the density of states at the Fermi level: 2.323 states/eV/cell. The value obtained for the density is 3.54 g/cm3. The total energy comes out at -2.957 eV/atom.



No. 5
This record from Alexandria via LeMat-Bulk describes a geometry-optimized LiAsSe2I structure. The functional is PBE-GGA.

abc: 5.4885 5.4885 5.4937
angles: 90.00 90.00 90.00
Last column: nearest neighbours and their distance in Å.
Space group P4/mmm (No. 123)
Asymmetric unit:
Li1 0.0000 0.0000 0.0000  4 As 3.88, 8 Se 3.88
As1 0.5000 0.5000 0.0000  2 I 2.75
Se1 0.0000 0.5000 0.5000  2 I 2.74
I1 0.5000 0.5000 0.5000  4 Se 2.74, 2 As 2.75

Summary:
For the volume, the calculation gives 165.5 Å³/cell. The energy above the most stable polymorph in this dataset comes out at 227.8 meV per atom. As for the density of states at the Fermi level: 3.447 states/eV/cell. The value obtained for the density is 3.68 g/cm3. The total energy comes out at -2.410 eV/atom.



No. 6
This record from Alexandria via LeMat-Bulk describes a geometry-optimized LiAsSe2I structure. The functional is PBE-GGA.

abc: 4.4097 4.4097 7.6926
angles: 90.00 90.00 90.00
Last column: nearest neighbours and their distance in Å.
Space group P4/mmm (No. 123)
Asymmetric unit:
Li1 0.0000 0.0000 0.0000  4 Se 2.20
As1 0.0000 0.0000 0.5000  4 I 3.12
Se1 0.0000 0.5000 0.0000  2 Li 2.20
I1 0.5000 0.5000 0.5000  4 As 3.12

Summary:
For the volume, the calculation gives 149.6 Å³/cell. The energy above the most stable polymorph in this dataset comes out at 0.0 meV per atom. As for the density of states at the Fermi level: 3.262 states/eV/cell. The value obtained for the density is 4.07 g/cm3. The total energy comes out at -2.638 eV/atom.



Question: The highest density belongs to which entry?
Answer: number 2